1.
A plane-wave DFT calculation with PBE-GGA was carried out for an optimized crystal structure of NiHg2Sb.

Density of states at the Fermi level   0.41 states/eV per atom
Raw formation energy   0.144 eV/atom

CIF file:
```
data_NiHg2Sb
_space_group_name_H-M_alt 'C 1 2/m 1'
_space_group_IT_number 12
_space_group_name_Hall '-C 2y'
_cell_length_a 13.929
_cell_length_b 3.192
_cell_length_c 4.092
_cell_angle_alpha 90.00
_cell_angle_beta 100.04
_cell_angle_gamma 90.00
loop_
_atom_site_label
_atom_site_type_symbol
_atom_site_fract_x
_atom_site_fract_y
_atom_site_fract_z
Ni1 Ni 0.000 0.000 0.000
Hg1 Hg 0.185 0.500 0.195
Sb1 Sb 0.000 0.500 0.500
```

2.
A plane-wave DFT calculation with PBE-GGA was carried out for an optimized crystal structure of TiCu3Pd12.

Total DFT energy (no corrections)   -85.8 eV/f.u.
Density of states at the Fermi level   1.19 states/eV per atom

CIF file:
```
data_TiCu3Pd12
_space_group_name_H-M_alt 'P 4/m m m'
_space_group_IT_number 123
_space_group_name_Hall '-P 4 2'
_cell_length_a 3.903
_cell_length_b 3.903
_cell_length_c 15.572
_cell_angle_alpha 90.00
_cell_angle_beta 90.00
_cell_angle_gamma 90.00
loop_
_atom_site_label
_atom_site_type_symbol
_atom_site_fract_x
_atom_site_fract_y
_atom_site_fract_z
Ti1 Ti 0.000 0.000 0.000
Cu1 Cu 0.000 0.000 0.253
Cu2 Cu 0.000 0.000 0.500
Pd1 Pd 0.000 0.500 0.125
Pd2 Pd 0.000 0.500 0.376
Pd3 Pd 0.500 0.500 0.000
Pd4 Pd 0.500 0.500 0.251
Pd5 Pd 0.500 0.500 0.500
```